Record 1
First-principles (PBE) data for Ta2HgPd2 after structural relaxation, as listed in Alexandria.

Values from the calculation:
symmetry = P4/mbm (127)
calculated total energy = -68.994 eV for the cell shown
formation energy = -10.1 kJ/mol of formula units

Unit cell a=7.836 b=7.836 c=2.907 alpha=90.00 beta=90.00 gamma=90.00
Atoms (fractional coordinates):
Ta 0.169 0.669 0.500
Pd 0.125 0.375 0.000
Pd 0.625 0.125 0.000
Hg 0.500 0.500 0.000
Ta 0.831 0.331 0.500
Ta 0.669 0.831 0.500
Pd 0.875 0.625 0.000
Hg 0.000 0.000 0.000
Pd 0.375 0.875 0.000
Ta 0.331 0.169 0.500

---

Record 2
First-principles (PBE) data for TlMoBr after structural relaxation, as listed in Alexandria.

Values from the calculation:
symmetry = P3m1 (156)
calculated total energy = -13.713 eV for the cell shown

Unit cell a=3.240 b=3.240 c=7.799 alpha=90.00 beta=90.00 gamma=120.00
Atoms (fractional coordinates):
Br 0.000 0.000 0.079
Mo 0.667 0.333 0.300
Tl 0.333 0.667 0.622

---

Record 3
First-principles (PBE) data for Sr2LaSi after structural relaxation, as listed in Alexandria.

Values from the calculation:
symmetry = Pmm2 (25)
calculated total energy = -14.379 eV for the cell shown

Unit cell a=3.763 b=3.990 c=10.221 alpha=90.00 beta=90.00 gamma=90.00
Atoms (fractional coordinates):
Si 0.500 0.500 0.730
La 0.000 0.000 0.588
Sr 0.000 0.000 0.918
Sr 0.500 0.500 0.264

---

Record 4
First-principles (PBE) data for TaCuIr2Os after structural relaxation, as listed in Alexandria.

Values from the calculation:
symmetry = P4/mmm (123)
calculated total energy = -36.489 eV for the cell shown
formation energy = 811.6 kJ/mol of formula units

Unit cell a=4.687 b=4.484 c=4.687 alpha=90.00 beta=90.00 gamma=90.00
Atoms (fractional coordinates):
Ta 0.500 0.500 0.500
Os 0.000 0.000 0.000
Ir 0.000 0.000 0.500
Ir 0.500 0.000 0.000
Cu 0.000 0.500 0.000

---

Record 5
First-principles (PBE) data for Ba2CuTc after structural relaxation, as listed in Alexandria.

Values from the calculation:
symmetry = R-3m (166)
calculated total energy = -14.661 eV for the cell shown
formation energy = 351.8 kJ/mol of formula units

Unit cell a=8.917 b=8.917 c=8.917 alpha=28.17 beta=28.17 gamma=28.17
Site moments in Bohr magnetons follow the coordinates.
Atoms (fractional coordinates):
Ba 0.002 0.002 0.002  -0.03
Ba 0.498 0.498 0.498  -0.03
Cu 0.250 0.250 0.250  0.01
Tc 0.750 0.750 0.750  2.34

---

Record 6
First-principles (PBE) data for UReTc after structural relaxation, as listed in Alexandria.

Values from the calculation:
symmetry = P3m1 (156)
calculated total energy = -33.613 eV for the cell shown
formation energy = 47.2 kJ/mol of formula units

Unit cell a=2.814 b=4.545 c=4.545 alpha=120.00 beta=90.00 gamma=90.00
Atoms (fractional coordinates):
Tc 0.598 0.667 0.333
U 0.338 0.333 0.667
Re 0.064 0.000 0.000

---

Record 7
First-principles (PBE) data for Pa2TeN2 after structural relaxation, as listed in Alexandria.

Values from the calculation:
symmetry = P4/mmm (123)
calculated total energy = -43.658 eV for the cell shown

Unit cell a=3.839 b=3.839 c=6.450 alpha=90.00 beta=90.00 gamma=90.00
Atoms (fractional coordinates):
Pa 0.500 0.500 0.712
Pa 0.500 0.500 0.288
N 0.000 0.500 0.500
N 0.500 0.000 0.500
Te 0.000 0.000 0.000

---

Record 8
First-principles (PBE) data for Sm2AlF after structural relaxation, as listed in Alexandria.

Values from the calculation:
symmetry = P4/mmm (123)
calculated total energy = -19.628 eV for the cell shown

Unit cell a=3.272 b=3.272 c=7.920 alpha=90.00 beta=90.00 gamma=90.00
Atoms (fractional coordinates):
Sm 0.000 0.000 0.241
Sm 0.000 0.000 0.759
Al 0.500 0.500 0.500
F 0.500 0.500 0.000

---

Record 9
First-principles (PBE) data for NdSm3Hg after structural relaxation, as listed in Alexandria.

Values from the calculation:
symmetry = C2/m (12)
calculated total energy = -40.155 eV for the cell shown
formation energy = -82.0 kJ/mol of formula units

Unit cell a=3.719 b=5.664 c=15.146 alpha=89.71 beta=97.05 gamma=90.00
Atoms (fractional coordinates):
Nd 0.733 0.751 0.466
Sm 0.952 0.734 0.904
Sm 0.048 0.266 0.096
Hg 0.459 0.226 0.918
Sm 0.873 0.245 0.746
Hg 0.541 0.774 0.082
Sm 0.658 0.252 0.317
Nd 0.267 0.249 0.534
Sm 0.127 0.755 0.254
Sm 0.342 0.748 0.683

---

Record 10
First-principles (PBE) data for HgOs2Se after structural relaxation, as listed in Alexandria.

Values from the calculation:
symmetry = Imm2 (44)
calculated total energy = -22.644 eV for the cell shown

Unit cell a=5.773 b=5.773 c=5.773 alpha=150.80 beta=131.61 gamma=57.52
Atoms (fractional coordinates):
Se 0.533 0.533 0.000
Os 0.753 0.253 0.500
Hg 0.246 0.746 0.500
Os 0.967 0.967 0.000

---

Record 11
First-principles (PBE) data for PrGdAgI after structural relaxation, as listed in Alexandria.

Values from the calculation:
symmetry = F-43m (216)
calculated total energy = -24.772 eV for the cell shown

Unit cell a=5.416 b=5.416 c=5.416 alpha=60.00 beta=60.00 gamma=60.00
Site moments in Bohr magnetons follow the coordinates.
Atoms (fractional coordinates):
Ag 0.000 0.000 0.000  0.00
Gd 0.750 0.750 0.750  7.18
Pr 0.250 0.250 0.250  0.12
I 0.500 0.500 0.500  -0.01

---

Record 12
First-principles (PBE) data for AcSm4Er after structural relaxation, as listed in Alexandria.

Values from the calculation:
symmetry = Cmcm (63)
calculated total energy = -54.400 eV for the cell shown
formation energy = 33.5 kJ/mol of formula units

Unit cell a=9.195 b=5.785 c=10.627 alpha=90.00 beta=105.15 gamma=128.98
Atoms (fractional coordinates):
Ac 0.623 0.373 0.747
Er 0.873 0.123 0.246
Sm 0.545 0.295 0.083
Sm 0.719 0.469 0.416
Er 0.127 0.877 0.754
Sm 0.197 0.948 0.416
Sm 0.803 0.052 0.584
Sm 0.037 0.787 0.083
Sm 0.281 0.531 0.584
Ac 0.377 0.627 0.253
Sm 0.455 0.705 0.917
Sm 0.963 0.213 0.917

---

Record 13
First-principles (PBE) data for BaLi6MgCd after structural relaxation, as listed in Alexandria.

Values from the calculation:
symmetry = Imma (74)
calculated total energy = -30.503 eV for the cell shown
formation energy = 64.1 kJ/mol of formula units

Unit cell a=7.459 b=10.508 c=8.929 alpha=126.04 beta=114.69 gamma=90.00
Atoms (fractional coordinates):
Li 0.579 0.829 0.157
Ba 0.692 0.442 0.385
Li 0.307 0.640 0.239
Li 0.932 0.099 0.239
Li 0.005 0.755 0.010
Li 0.068 0.360 0.761
Li 0.421 0.171 0.843
Mg 0.500 0.000 0.500
Li 0.068 0.901 0.761
Li 0.307 0.099 0.239
Cd 0.500 0.000 0.000
Li 0.932 0.640 0.239
Li 0.693 0.901 0.761
Ba 0.308 0.558 0.615
Li 0.693 0.360 0.761
Mg 0.000 0.000 0.500
Li 0.995 0.245 0.990
Cd 0.500 0.500 0.000

---

Record 14
First-principles (PBE) data for CaMgN3 after structural relaxation, as listed in Alexandria.

Values from the calculation:
symmetry = Pm-3m (221)
calculated total energy = -24.377 eV for the cell shown

Unit cell a=3.975 b=3.975 c=3.975 alpha=90.00 beta=90.00 gamma=90.00
Site moments in Bohr magnetons follow the coordinates.
Atoms (fractional coordinates):
N 0.000 0.000 0.500  0.30
Mg 0.000 0.000 0.000  0.01
N 0.500 0.000 0.000  0.31
Ca 0.500 0.500 0.500  0.00
N 0.000 0.500 0.000  0.31

---

Record 15
First-principles (PBE) data for MnMoRh2 after structural relaxation, as listed in Alexandria.

Values from the calculation:
symmetry = Pmm2 (25)
calculated total energy = -35.097 eV for the cell shown
formation energy = -38.0 kJ/mol of formula units

Unit cell a=4.290 b=2.705 c=4.736 alpha=90.00 beta=90.00 gamma=90.00
Site moments in Bohr magnetons follow the coordinates.
Atoms (fractional coordinates):
Rh 0.500 0.125 0.303  -0.01
Rh 0.000 0.125 0.959  -0.01
Mo 0.500 0.625 0.782  -0.02
Mn 0.000 0.625 0.456  0.09

---

Record 16
First-principles (PBE) data for CoAs2Se after structural relaxation, as listed in Alexandria.

Values from the calculation:
symmetry = Imm2 (44)
calculated total energy = -19.310 eV for the cell shown

Unit cell a=6.159 b=6.159 c=6.159 alpha=148.53 beta=142.38 gamma=49.83
Atoms (fractional coordinates):
As 0.661 0.161 0.500
As 0.009 0.009 0.000
Co 0.494 0.494 0.000
Se 0.336 0.836 0.500

---

Record 17
First-principles (PBE) data for ScTcOs2 after structural relaxation, as listed in Alexandria.

Values from the calculation:
symmetry = Pmm2 (25)
calculated total energy = -38.752 eV for the cell shown
formation energy = 39.1 kJ/mol of formula units

Unit cell a=2.821 b=3.842 c=5.837 alpha=90.00 beta=90.00 gamma=90.00
Atoms (fractional coordinates):
Tc 0.500 0.500 0.778
Os 0.500 0.500 0.225
Os 0.000 0.000 0.001
Sc 0.000 0.000 0.496

---

Record 18
First-principles (PBE) data for LiMn2Cu after structural relaxation, as listed in Alexandria.

Values from the calculation:
symmetry = Cm (8)
calculated total energy = -23.201 eV for the cell shown
formation energy = 110.8 kJ/mol of formula units

Unit cell a=4.231 b=4.231 c=4.785 alpha=87.26 beta=87.26 gamma=32.11
Site moments in Bohr magnetons follow the coordinates.
Atoms (fractional coordinates):
Li 0.756 0.756 0.731  -0.01
Cu 0.505 0.505 0.522  0.01
Mn 0.001 0.001 0.031  0.08
Mn 0.239 0.239 0.217  0.55

---

Record 19
First-principles (PBE) data for Cd4In15Ga after structural relaxation, as listed in Alexandria.

Values from the calculation:
symmetry = P4/mmm (123)
calculated total energy = -47.369 eV for the cell shown
formation energy = 38.1 kJ/mol of formula units

Unit cell a=4.680 b=4.680 c=23.637 alpha=90.00 beta=90.00 gamma=90.00
Atoms (fractional coordinates):
Cd 0.000 0.000 0.601
In 0.500 0.000 0.500
Cd 0.000 0.000 0.198
In 0.500 0.500 0.600
Cd 0.000 0.000 0.399
Ga 0.000 0.000 0.000
In 0.500 0.500 0.800
In 0.000 0.500 0.500
In 0.500 0.500 0.200
In 0.000 0.500 0.901
In 0.500 0.000 0.099
In 0.500 0.000 0.701
In 0.000 0.500 0.099
In 0.500 0.500 0.000
Cd 0.000 0.000 0.802
In 0.000 0.500 0.299
In 0.000 0.500 0.701
In 0.500 0.000 0.901
In 0.500 0.000 0.299
In 0.500 0.500 0.400

---

Record 20
First-principles (PBE) data for Sm7Hg2Sb2 after structural relaxation, as listed in Alexandria.

Values from the calculation:
symmetry = Cmmm (65)
calculated total energy = -44.695 eV for the cell shown

Unit cell a=7.422 b=6.848 c=7.422 alpha=90.00 beta=98.33 gamma=90.00
Atoms (fractional coordinates):
Sm 0.000 0.262 0.500
Hg 0.274 0.000 0.726
Sb 0.797 0.500 0.797
Sm 0.000 0.000 0.000
Sm 0.500 0.262 0.000
Sb 0.203 0.500 0.203
Sm 0.500 0.746 0.500
Sm 0.500 0.254 0.500
Hg 0.726 0.000 0.274
Sm 0.000 0.738 0.500
Sm 0.500 0.738 0.000